1.
CsPrNp2O7 | PBE | relaxed

It has space group P4/mmm (No. 123), with a = 4.281 Å, b = 4.281 Å, c = 11.343 Å, α = 90.00°, β = 90.00° and γ = 90.00°. The inequivalent atoms are Cs at (0.000, 0.000, 0.000), Pr at (0.000, 0.000, 0.500), Np at (0.500, 0.500, 0.312), O at (0.000, 0.500, 0.358), O at (0.500, 0.500, 0.143) and O at (0.500, 0.500, 0.500).

The calculation puts the uncorrected formation energy at -2.826 eV per atom. The electronic total energy comes out at -8.846 eV/atom.

=====

2.
Cs2NpPtO6 | PBE | relaxed

It has space group I4/mmm (No. 139), with a = 5.777 Å, b = 5.777 Å, c = 11.564 Å, α = 90.00°, β = 90.00° and γ = 90.00°. The inequivalent atoms are Cs at (0.000, 0.500, 0.250), Np at (0.000, 0.000, 0.000), Pt at (0.000, 0.000, 0.500), O at (0.000, 0.000, 0.163) and O at (0.240, 0.240, 0.500).

The calculation puts the uncorrected formation energy at -1.846 eV per atom. The electronic total energy comes out at -6.890 eV/atom.

=====

3.
CsPuNpO6 | PBE | relaxed

It has space group Imma (No. 74), with a = 7.816 Å, b = 7.942 Å, c = 11.165 Å, α = 90.00°, β = 90.00° and γ = 90.00°. The inequivalent atoms are Cs at (0.000, 0.250, 0.124), Pu at (0.250, 0.250, 0.750), Np at (0.000, 0.000, 0.500), O at (0.000, 0.250, 0.437), O at (0.000, 0.250, 0.817) and O at (0.187, 0.057, 0.623).

The calculation puts the uncorrected formation energy at -2.689 eV per atom. The electronic total energy comes out at -9.119 eV/atom.

=====

4.
CsRb2Np2O7 | PBE | relaxed

It has space group I4/mmm (No. 139), with a = 4.367 Å, b = 4.367 Å, c = 22.975 Å, α = 90.00°, β = 90.00° and γ = 90.00°. The inequivalent atoms are Cs at (0.000, 0.000, 0.000), Rb at (0.000, 0.000, 0.191), Np at (0.000, 0.000, 0.405), O at (0.000, 0.000, 0.320), O at (0.000, 0.000, 0.500) and O at (0.000, 0.500, 0.097).

The calculation puts the uncorrected formation energy at -2.495 eV per atom. The electronic total energy comes out at -7.776 eV/atom.